Record 1
{
  "formula": "La8Pr3Sm2",
  "functional": "GGA-PBE",
  "state": "relaxed",
  "cell": [[6.8682, -5.9609, 0.0000], [6.8682, 5.9609, 0.0000], [-2.5427, 0.0000, 5.7786]],
  "species": ["La", "La", "La", "La", "La", "La", "La", "La", "Pr", "Pr", "Pr", "Sm", "Sm"],
  "frac_coords": [[0.0451, 0.0451, 0.2863], [0.0618, 0.5949, 0.8337], [0.3606, 0.3606, 0.4276], [0.4051, 0.9382, 0.1663], [0.5949, 0.0618, 0.8337], [0.6394, 0.6394, 0.5724], [0.9382, 0.4051, 0.1663], [0.9549, 0.9549, 0.7137], [0.2537, 0.7463, 0.5000], [0.5000, 0.5000, 0.0000], [0.7463, 0.2537, 0.5000], [0.2152, 0.2152, 0.8044], [0.7848, 0.7848, 0.1956]],
  "polymorph_energy_ev_per_atom": 0.000,
  "dos_at_fermi_per_ev_cell": 20.80,
  "magnetic_moment_mub_per_cell": 0.00,
  "formation_energy_ev_per_atom": 0.13,
  "space_group": "C2/m, No. 12"
}

Record 2
{
  "formula": "SrFeSi2",
  "functional": "GGA-PBE",
  "state": "relaxed",
  "cell": [[-2.0713, 2.9826, 3.6234], [2.0713, -2.9826, 3.6234], [2.0713, 2.9826, -3.6234]],
  "species": ["Sr", "Fe", "Si", "Si"],
  "frac_coords": [[0.0000, 0.0000, 0.0000], [0.3664, 0.8664, 0.5000], [0.4907, 0.4907, 0.0000], [0.6791, 0.1791, 0.5000]],
  "dos_at_fermi_per_ev_cell": 5.23,
  "magnetic_moment_mub_per_cell": 1.88,
  "formation_energy_uncorrected_ev_per_atom": 0.293,
  "space_group": "Imm2, No. 44"
}

Record 3
{
  "formula": "NdPaN3",
  "functional": "GGA-PBE",
  "state": "relaxed",
  "cell": [[4.3416, 0.0000, 0.0000], [0.0000, 4.3416, 0.0000], [0.0000, 0.0000, 4.3416]],
  "species": ["Nd", "Pa", "N", "N", "N"],
  "frac_coords": [[0.0000, 0.0000, 0.0000], [0.5000, 0.5000, 0.5000], [0.0000, 0.5000, 0.5000], [0.5000, 0.0000, 0.5000], [0.5000, 0.5000, 0.0000]],
  "dos_at_fermi_per_ev_cell": 2.42,
  "magnetic_moment_mub_per_cell": 0.00,
  "formation_energy_uncorrected_ev_per_atom": -0.982,
  "space_group": "Pm-3m, No. 221"
}

Record 4
{
  "formula": "Ba3Tl8Pd3",
  "functional": "GGA-PBE",
  "state": "relaxed",
  "cell": [[-2.4690, 5.8146, 7.2766], [2.4690, -5.8146, 7.2766], [2.4690, 5.8146, -7.2766]],
  "species": ["Ba", "Ba", "Ba", "Tl", "Tl", "Tl", "Tl", "Tl", "Tl", "Tl", "Tl", "Pd", "Pd", "Pd"],
  "frac_coords": [[0.0000, 0.0000, 0.0000], [0.3394, 0.3394, 0.0000], [0.6606, 0.6606, 0.0000], [0.0381, 0.6807, 0.3574], [0.1821, 0.8929, 0.2892], [0.3234, 0.6807, 0.6426], [0.3963, 0.1071, 0.2892], [0.6037, 0.8929, 0.7108], [0.6766, 0.3193, 0.3574], [0.8179, 0.1071, 0.7108], [0.9619, 0.3193, 0.6426], [0.2376, 0.5000, 0.7376], [0.5000, 0.0000, 0.5000], [0.7624, 0.5000, 0.2624]],
  "polymorph_energy_ev_per_atom": 0.011,
  "dos_at_fermi_per_ev_cell": 5.53,
  "magnetic_moment_mub_per_cell": 0.00,
  "formation_energy_ev_per_atom": -0.32,
  "space_group": "Immm, No. 71"
}

Record 5
{
  "formula": "Na2OsO6",
  "functional": "GGA-PBE",
  "state": "relaxed",
  "cell": [[5.1377, 0.0000, 0.0000], [0.0000, 5.1377, 0.0000], [0.0000, 0.0000, 10.1847]],
  "species": ["Na", "Na", "Na", "Na", "Os", "Os", "O", "O", "O", "O", "O", "O", "O", "O", "O", "O", "O", "O"],
  "frac_coords": [[0.0000, 0.0000, 0.1650], [0.0000, 0.0000, 0.8350], [0.5000, 0.5000, 0.3350], [0.5000, 0.5000, 0.6650], [0.0000, 0.0000, 0.5000], [0.5000, 0.5000, 0.0000], [0.1785, 0.1785, 0.3707], [0.1785, 0.1785, 0.6293], [0.2428, 0.2428, 0.0000], [0.2572, 0.7428, 0.5000], [0.3215, 0.6785, 0.1293], [0.3215, 0.6785, 0.8707], [0.6785, 0.3215, 0.1293], [0.6785, 0.3215, 0.8707], [0.7428, 0.2572, 0.5000], [0.7572, 0.7572, 0.0000], [0.8215, 0.8215, 0.3707], [0.8215, 0.8215, 0.6293]],
  "dos_at_fermi_per_ev_cell": 10.26,
  "magnetic_moment_mub_per_cell": 4.01,
  "formation_energy_uncorrected_ev_per_atom": -0.856,
  "space_group": "P4_2/mnm, No. 136"
}

Record 6
{
  "formula": "La4GaI2N",
  "functional": "GGA-PBE",
  "state": "relaxed",
  "cell": [[7.3982, 0.0000, 0.0000], [0.0000, 3.9818, 0.0000], [-2.2959, 0.0000, 8.1214]],
  "species": ["La", "La", "La", "La", "Ga", "I", "I", "N"],
  "frac_coords": [[0.1937, 0.0000, 0.1755], [0.2218, 0.5000, 0.8073], [0.7782, 0.5000, 0.1927], [0.8063, 0.0000, 0.8245], [0.5000, 0.0000, 0.0000], [0.0000, 0.0000, 0.5000], [0.5000, 0.5000, 0.5000], [0.0000, 0.5000, 0.0000]],
  "dos_at_fermi_per_ev_cell": 4.10,
  "magnetic_moment_mub_per_cell": 0.00,
  "formation_energy_uncorrected_ev_per_atom": -1.013,
  "space_group": "P2/m, No. 10"
}

Record 7
{
  "formula": "ScBeNb",
  "functional": "GGA-PBE",
  "state": "relaxed",
  "cell": [[3.0775, 0.0000, 0.0000], [-1.5154, 5.1016, 0.0000], [-0.7803, -1.6798, 6.4639]],
  "species": ["Sc", "Sc", "Be", "Be", "Nb", "Nb"],
  "frac_coords": [[0.2170, 0.3181, 0.1310], [0.7830, 0.6819, 0.8690], [0.4971, 0.9084, 0.2109], [0.5029, 0.0916, 0.7891], [0.0094, 0.2614, 0.5453], [0.9906, 0.7386, 0.4547]],
  "polymorph_energy_ev_per_atom": 0.063,
  "dos_at_fermi_per_ev_cell": 5.14,
  "magnetic_moment_mub_per_cell": 0.00,
  "formation_energy_ev_per_atom": 0.06,
  "space_group": "P-1, No. 2"
}

Record 8
{
  "formula": "CsPaCu2Br8",
  "functional": "GGA-PBE",
  "state": "relaxed",
  "cell": [[5.5959, -3.8604, 0.0000], [5.5959, 3.8604, 0.0000], [-0.9162, 0.0000, 10.8023]],
  "species": ["Cs", "Pa", "Cu", "Cu", "Br", "Br", "Br", "Br", "Br", "Br", "Br", "Br"],
  "frac_coords": [[0.0000, 0.0000, 0.0000], [0.0000, 0.0000, 0.5000], [0.3398, 0.3398, 0.7108], [0.6602, 0.6602, 0.2892], [0.2446, 0.7480, 0.3196], [0.2480, 0.2480, 0.5055], [0.2520, 0.7554, 0.6804], [0.3162, 0.3162, 0.9180], [0.6838, 0.6838, 0.0820], [0.7480, 0.2446, 0.3196], [0.7520, 0.7520, 0.4945], [0.7554, 0.2520, 0.6804]],
  "magnetic_moment_mub_per_cell": 0.00,
  "formation_energy_uncorrected_ev_per_atom": -1.074,
  "space_group": "C2/m, No. 12"
}

Record 9
{
  "formula": "PmVP",
  "functional": "GGA-PBE",
  "state": "relaxed",
  "cell": [[4.1220, 0.0000, 0.0000], [-2.0610, 3.5698, 0.0000], [0.0000, 0.0000, 4.1042]],
  "species": ["Pm", "V", "P"],
  "frac_coords": [[0.0000, 0.0000, 0.0000], [0.3333, 0.6667, 0.5000], [0.6667, 0.3333, 0.5000]],
  "polymorph_energy_ev_per_atom": 0.206,
  "dos_at_fermi_per_ev_cell": 3.99,
  "magnetic_moment_mub_per_cell": 0.98,
  "formation_energy_ev_per_atom": -0.53,
  "space_group": "P-6m2, No. 187"
}

Record 10
{
  "formula": "LaReI2N",
  "functional": "GGA-PBE",
  "state": "relaxed",
  "cell": [[6.5169, 0.0000, 0.0000], [0.0000, 6.5169, 0.0000], [0.0000, 0.0000, 4.1789]],
  "species": ["La", "Re", "I", "I", "N"],
  "frac_coords": [[0.0000, 0.0000, 0.0000], [0.5000, 0.5000, 0.5000], [0.0000, 0.5000, 0.0000], [0.5000, 0.0000, 0.0000], [0.0000, 0.0000, 0.5000]],
  "polymorph_energy_ev_per_atom": 0.888,
  "dos_at_fermi_per_ev_cell": 2.83,
  "magnetic_moment_mub_per_cell": 6.19,
  "formation_energy_uncorrected_ev_per_atom": 0.857,
  "space_group": "P4/mmm, No. 123"
}

Record 11
{
  "formula": "LaDy3Au4",
  "functional": "GGA-PBE",
  "state": "relaxed",
  "cell": [[5.1447, 0.0000, 0.0000], [0.0000, 5.1447, 0.0000], [0.0000, 0.0000, 7.3294]],
  "species": ["La", "Dy", "Dy", "Dy", "Au", "Au", "Au", "Au"],
  "frac_coords": [[0.0000, 0.0000, 0.0000], [0.0000, 0.0000, 0.5000], [0.5000, 0.5000, 0.0000], [0.5000, 0.5000, 0.5000], [0.0000, 0.5000, 0.2659], [0.0000, 0.5000, 0.7341], [0.5000, 0.0000, 0.2659], [0.5000, 0.0000, 0.7341]],
  "dos_at_fermi_per_ev_cell": 5.05,
  "magnetic_moment_mub_per_cell": 0.00,
  "formation_energy_ev_per_atom": -0.83,
  "space_group": "P4/mmm, No. 123"
}

Record 12
{
  "formula": "Pu5S5N2",
  "functional": "GGA-PBE",
  "state": "relaxed",
  "cell": [[6.2413, -1.8895, 0.0000], [6.2413, 1.8895, 0.0000], [-3.1294, 0.0000, 10.1162]],
  "species": ["Pu", "Pu", "Pu", "Pu", "Pu", "S", "S", "S", "S", "S", "N", "N"],
  "frac_coords": [[0.0000, 0.0000, 0.0000], [0.1037, 0.1037, 0.3893], [0.3426, 0.3426, 0.2009], [0.6574, 0.6574, 0.7991], [0.8963, 0.8963, 0.6107], [0.2488, 0.2488, 0.6409], [0.3374, 0.3374, 0.9386], [0.5000, 0.5000, 0.5000], [0.6626, 0.6626, 0.0614], [0.7512, 0.7512, 0.3591], [0.0426, 0.0426, 0.8013], [0.9574, 0.9574, 0.1987]],
  "dos_at_fermi_per_ev_cell": 35.58,
  "magnetic_moment_mub_per_cell": 4.47,
  "formation_energy_uncorrected_ev_per_atom": -1.514,
  "space_group": "C2/m, No. 12"
}

Record 13
{
  "formula": "Pr2In5Au3",
  "functional": "GGA-PBE",
  "state": "relaxed",
  "cell": [[2.3481, -13.5935, 0.0000], [2.3481, 13.5935, 0.0000], [0.0000, 0.0000, 7.5709]],
  "species": ["Pr", "Pr", "Pr", "Pr", "In", "In", "In", "In", "In", "In", "In", "In", "In", "In", "Au", "Au", "Au", "Au", "Au", "Au"],
  "frac_coords": [[0.0197, 0.9803, 0.5000], [0.3265, 0.6735, 0.5353], [0.6735, 0.3265, 0.0353], [0.9803, 0.0197, 0.0000], [0.1008, 0.8992, 0.8531], [0.2068, 0.7932, 0.3309], [0.2072, 0.7928, 0.7424], [0.3794, 0.6206, 0.0077], [0.4482, 0.5518, 0.6727], [0.5518, 0.4482, 0.1727], [0.6206, 0.3794, 0.5077], [0.7928, 0.2072, 0.2424], [0.7932, 0.2068, 0.8309], [0.8992, 0.1008, 0.3531], [0.1076, 0.8924, 0.2395], [0.2747, 0.7253, 0.0375], [0.4528, 0.5472, 0.2873], [0.5472, 0.4528, 0.7873], [0.7253, 0.2747, 0.5375], [0.8924, 0.1076, 0.7395]],
  "polymorph_energy_ev_per_atom": 0.000,
  "dos_at_fermi_per_ev_cell": 8.31,
  "magnetic_moment_mub_per_cell": 0.00,
  "formation_energy_ev_per_atom": -0.54,
  "space_group": "Cmc2_1, No. 36"
}

Record 14
{
  "formula": "ZrTlV4",
  "functional": "GGA-PBE",
  "state": "relaxed",
  "cell": [[0.0000, 3.6725, 3.6725], [3.6725, 0.0000, 3.6725], [3.6725, 3.6725, 0.0000]],
  "species": ["Zr", "Tl", "V", "V", "V", "V"],
  "frac_coords": [[0.0000, 0.0000, 0.0000], [0.7500, 0.7500, 0.7500], [0.3713, 0.3713, 0.3713], [0.3713, 0.3713, 0.8861], [0.3713, 0.8861, 0.3713], [0.8861, 0.3713, 0.3713]],
  "dos_at_fermi_per_ev_cell": 6.31,
  "magnetic_moment_mub_per_cell": 0.00,
  "formation_energy_ev_per_atom": 0.15,
  "space_group": "F-43m, No. 216"
}

Record 15
{
  "formula": "LaNiP",
  "functional": "GGA-PBE",
  "state": "relaxed",
  "cell": [[-2.0314, 2.0314, 3.9707], [2.0314, -2.0314, 3.9707], [2.0314, 2.0314, -3.9707]],
  "species": ["La", "Ni", "P"],
  "frac_coords": [[0.0000, 0.0000, 0.0000], [0.6248, 0.6248, 0.0000], [0.3558, 0.3558, 0.0000]],
  "dos_at_fermi_per_ev_cell": 1.08,
  "magnetic_moment_mub_per_cell": 0.00,
  "formation_energy_ev_per_atom": -0.50,
  "space_group": "I4mm, No. 107"
}

Record 16
{
  "formula": "TiNbHAu2",
  "functional": "GGA-PBE",
  "state": "relaxed",
  "cell": [[5.1714, 0.0000, 0.0000], [0.0000, 5.1714, 0.0000], [0.0000, 0.0000, 3.3854]],
  "species": ["Ti", "Nb", "H", "Au", "Au"],
  "frac_coords": [[0.0000, 0.0000, 0.0000], [0.5000, 0.5000, 0.5000], [0.5000, 0.5000, 0.0000], [0.0000, 0.5000, 0.5000], [0.5000, 0.0000, 0.5000]],
  "dos_at_fermi_per_ev_cell": 5.40,
  "magnetic_moment_mub_per_cell": 1.04,
  "space_group": "P4/mmm, No. 123"
}

Record 17
{
  "formula": "ReTe2PI",
  "functional": "GGA-PBE",
  "state": "relaxed",
  "cell": [[5.3229, 0.0000, 0.0000], [0.0000, 5.3229, 0.0000], [0.0000, 0.0000, 5.2114]],
  "species": ["Re", "Te", "Te", "P", "I"],
  "frac_coords": [[0.0000, 0.0000, 0.0000], [0.0000, 0.5000, 0.5000], [0.5000, 0.0000, 0.5000], [0.5000, 0.5000, 0.5000], [0.5000, 0.5000, 0.0000]],
  "polymorph_energy_ev_per_atom": 0.369,
  "dos_at_fermi_per_ev_cell": 4.31,
  "magnetic_moment_mub_per_cell": 4.45,
  "formation_energy_uncorrected_ev_per_atom": 1.464,
  "space_group": "P4/mmm, No. 123"
}

Record 18
{
  "formula": "Li2CdRh2",
  "functional": "GGA-PBE",
  "state": "relaxed",
  "cell": [[6.5992, 0.0000, 0.0000], [0.0000, 6.5992, 0.0000], [0.0000, 0.0000, 3.1788]],
  "species": ["Li", "Li", "Li", "Li", "Cd", "Cd", "Rh", "Rh", "Rh", "Rh"],
  "frac_coords": [[0.1232, 0.3768, 0.0000], [0.3768, 0.8768, 0.0000], [0.6232, 0.1232, 0.0000], [0.8768, 0.6232, 0.0000], [0.0000, 0.0000, 0.0000], [0.5000, 0.5000, 0.0000], [0.1735, 0.6735, 0.5000], [0.3265, 0.1735, 0.5000], [0.6735, 0.8265, 0.5000], [0.8265, 0.3265, 0.5000]],
  "polymorph_energy_ev_per_atom": 0.000,
  "dos_at_fermi_per_ev_cell": 7.50,
  "magnetic_moment_mub_per_cell": 0.00,
  "formation_energy_ev_per_atom": -0.03,
  "space_group": "P4/mbm, No. 127"
}

In the order shown, the computed VASP energy values come out to -61.5, -19.8, -44.2, -44.8, -51.3, -42.3, -20.0, -44.8, -20.9, -24.5, -38.5, -127.1, -38.4, -46.5, -17.6, -25.4, -18.4, -19.6 eV per formula unit.